Record 1
Entry from the Alexandria database: an optimized crystal structure of Na16Tl12Zn (PBE).

The value obtained for the formation energy is -0.09 eV/atom. The calculation puts the calculated density at 5.646 Mg/m³. The calculation puts the total DFT energy (no corrections) at -106.7 eV per cell.

abc: 11.928 16.847 10.261
angles: 90.00 124.60 90.00
Space group Cm (No. 8)
Symmetry-distinct sites (fractional):
1 Na 0.000 0.000 0.000 (multiplicity 2)
2 Na 0.006 0.301 0.293 (multiplicity 4)
3 Na 0.047 0.372 0.004 (multiplicity 4)
4 Na 0.199 0.208 0.679 (multiplicity 4)
5 Na 0.298 0.000 0.707 (multiplicity 2)
6 Na 0.321 0.331 0.993 (multiplicity 4)
7 Na 0.339 0.343 0.405 (multiplicity 4)
8 Na 0.363 0.000 0.321 (multiplicity 2)
9 Na 0.420 0.151 0.572 (multiplicity 4)
10 Na 0.491 0.500 0.651 (multiplicity 2)
11 Tl 0.087 0.097 0.371 (multiplicity 4)
12 Tl 0.111 0.500 0.796 (multiplicity 2)
13 Tl 0.177 0.191 0.175 (multiplicity 4)
14 Tl 0.208 0.403 0.611 (multiplicity 4)
15 Tl 0.273 0.095 0.982 (multiplicity 4)
16 Tl 0.302 0.500 0.184 (multiplicity 2)
17 Tl 0.491 0.304 0.798 (multiplicity 4)
18 Zn 0.154 0.500 0.335 (multiplicity 2)

=====

Record 2
Entry from the Alexandria database: an optimized crystal structure of Na4Tl5Zn (PBE).

The value obtained for the formation energy is -0.02 eV/atom. The calculation puts the calculated density at 6.583 Mg/m³. The calculation puts the total DFT energy (no corrections) at -37.1 eV per cell.

abc: 9.556 9.556 6.514
angles: 90.00 90.00 90.00
Space group I4 (No. 79)
Symmetry-distinct sites (fractional):
1 Na 0.060 0.310 0.000 (multiplicity 8)
2 Tl 0.000 0.000 0.811 (multiplicity 2)
3 Tl 0.097 0.239 0.489 (multiplicity 8)
4 Zn 0.000 0.000 0.237 (multiplicity 2)

=====

Record 3
Entry from the Alexandria database: an optimized crystal structure of Na2TlZn (PBE).

The value obtained for the formation energy is -0.05 eV/atom. The calculation puts the calculated density at 4.820 Mg/m³. The calculation puts the total DFT energy (no corrections) at -25.8 eV per cell.

abc: 11.237 4.376 9.745
angles: 90.00 114.76 90.00
Space group Cm (No. 8)
Symmetry-distinct sites (fractional):
1 Na 0.000 0.000 0.000 (multiplicity 2)
2 Na 0.023 0.000 0.446 (multiplicity 2)
3 Na 0.079 0.500 0.764 (multiplicity 2)
4 Na 0.337 0.000 0.141 (multiplicity 2)
5 Tl 0.175 0.500 0.258 (multiplicity 2)
6 Tl 0.295 0.000 0.785 (multiplicity 2)
7 Zn 0.303 0.000 0.460 (multiplicity 2)
8 Zn 0.310 0.500 0.605 (multiplicity 2)

=====

Record 4
Entry from the Alexandria database: an optimized crystal structure of NaTl3Zn (PBE).

The value obtained for the formation energy is 0.13 eV/atom. The calculation puts the calculated density at 7.239 Mg/m³. The calculation puts the total DFT energy (no corrections) at -9.0 eV per cell.

abc: 5.439 5.439 5.439
angles: 90.00 90.00 90.00
Space group Pm-3m (No. 221)
Symmetry-distinct sites (fractional):
1 Na 0.000 0.000 0.000 (multiplicity 1)
2 Tl 0.000 0.500 0.500 (multiplicity 3)
3 Zn 0.500 0.500 0.500 (multiplicity 1)